A plane-wave DFT calculation with GGA-PBE was carried out for an optimized crystal structure of BeIr2S.

Output
**Space group**: Fm-3m (225)
**DOS(E_F)**: 1.07 states/eV per atom
**Magnetic moment**: 0.0 μB per formula unit
**Formation energy from raw total energies**: 0.260 eV/atom
**Calculated total energy**: -24.536 eV for the cell shown
**Excess energy over the best structure of this formula in the dataset**: 0.0046 eV per atom

Cell: 4.1529 4.1529 4.1529 Å, 60.00 60.00 60.00°
With the nearest neighbours (Å) after each atom.
Positions (direct):
Be1 0.0000 0.0000 0.0000  8 Ir 2.54
Ir1 0.2500 0.2500 0.2500  4 S 2.54, 4 Be 2.54
Ir2 0.7500 0.7500 0.7500  4 Be 2.54, 4 S 2.54
S1 0.5000 0.5000 0.5000  8 Ir 2.54